1.
A geometry-optimized Cd2Cu2BPt4 structure. Source: Alexandria via LeMat-Bulk, functional PBE.

abc: 5.7812 5.7812 5.7812
angles: 120.51 120.51 89.11
Fractional coordinates of all 9 atoms:
Cd 0.2500 0.7500 0.5000
Cd 0.7500 0.2500 0.5000
Cu 0.2359 0.2359 0.0000
Cu 0.7641 0.7641 0.0000
B 0.5000 0.5000 0.0000
Pt 0.2437 0.2437 0.4874
Pt 0.2437 0.7563 0.0000
Pt 0.7563 0.2437 0.0000
Pt 0.7563 0.7563 0.5126

Summary:
The energy relative to the elements comes out at -0.30 eV/atom. The uncorrected energy is -43.6 eV for the cell shown. The value obtained for the theoretical density is 14003 kg/m³. Its space-group type is I4/mmm.

2.
A geometry-optimized BaCu3H6 structure. Source: Alexandria via LeMat-Bulk, functional PBE.

abc: 4.5814 4.5814 5.7942
angles: 100.30 100.30 105.24
Fractional coordinates of all 10 atoms:
Ba 0.0000 0.0000 0.0000
Cu 0.1962 0.5522 0.5825
Cu 0.5522 0.1962 0.5825
Cu 0.6694 0.6694 0.3769
H 0.3665 0.3665 0.3863
H 0.4119 0.9238 0.7282
H 0.4302 0.4302 0.7885
H 0.5881 0.9738 0.3132
H 0.9238 0.4119 0.7282
H 0.9738 0.5881 0.3132

Summary:
The uncorrected energy is -35.0 eV for the cell shown. The value obtained for the theoretical density is 4946 kg/m³. Its space-group type is Cm.

3.
A geometry-optimized SrLi3Pa4S12 structure. Source: Alexandria via LeMat-Bulk, functional PBE.

abc: 8.6086 8.6086 8.6086
angles: 109.47 109.47 109.47
Fractional coordinates of all 20 atoms:
Sr 0.0000 0.0000 0.0000
Li 0.0000 0.5000 0.5000
Li 0.5000 0.0000 0.5000
Li 0.5000 0.5000 0.0000
Pa 0.0000 0.0000 0.5000
Pa 0.0000 0.5000 0.0000
Pa 0.5000 0.0000 0.0000
Pa 0.5000 0.5000 0.5000
S 0.1296 0.8286 0.3010
S 0.1714 0.3010 0.4724
S 0.1714 0.6990 0.8704
S 0.3010 0.1296 0.8286
S 0.3010 0.4724 0.1714
S 0.4724 0.1714 0.3010
S 0.5276 0.8286 0.6990
S 0.6990 0.5276 0.8286
S 0.6990 0.8704 0.1714
S 0.8286 0.3010 0.1296
S 0.8286 0.6990 0.5276
S 0.8704 0.1714 0.6990

Summary:
The uncorrected energy is -125.6 eV for the cell shown. The value obtained for the theoretical density is 4792 kg/m³. Its space-group type is Im-3.

4.
A geometry-optimized CuPdS2 structure. Source: Alexandria via LeMat-Bulk, functional PBE.

abc: 3.6745 3.6745 20.2277
angles: 90.00 90.00 120.00
Fractional coordinates of all 12 atoms:
Cu 0.0000 0.0000 0.0000
Cu 0.3333 0.6667 0.6667
Cu 0.6667 0.3333 0.3333
Pd 0.0000 0.0000 0.5000
Pd 0.3333 0.6667 0.1667
Pd 0.6667 0.3333 0.8333
S 0.0000 0.0000 0.1057
S 0.0000 0.0000 0.8943
S 0.3333 0.6667 0.5610
S 0.3333 0.6667 0.7724
S 0.6667 0.3333 0.2276
S 0.6667 0.3333 0.4390

Summary:
The uncorrected energy is -53.9 eV for the cell shown. The value obtained for the theoretical density is 4931 kg/m³. Its space-group type is R-3m.

5.
A geometry-optimized InFeSi2 structure. Source: Alexandria via LeMat-Bulk, functional PBE.

abc: 4.2890 4.2890 15.7446
angles: 90.00 90.00 90.00
Fractional coordinates of all 16 atoms:
In 0.0000 0.0000 0.0000
In 0.0000 0.5000 0.2500
In 0.5000 0.0000 0.7500
In 0.5000 0.5000 0.5000
Fe 0.0000 0.0000 0.5000
Fe 0.0000 0.5000 0.7500
Fe 0.5000 0.0000 0.2500
Fe 0.5000 0.5000 0.0000
Si 0.1427 0.2500 0.6250
Si 0.2500 0.6427 0.8750
Si 0.2500 0.8573 0.3750
Si 0.3573 0.2500 0.1250
Si 0.6427 0.7500 0.1250
Si 0.7500 0.1427 0.3750
Si 0.7500 0.3573 0.8750
Si 0.8573 0.7500 0.6250

Summary:
The uncorrected energy is -83.5 eV for the cell shown. The value obtained for the theoretical density is 5202 kg/m³. Its space-group type is I-42d.

6.
A geometry-optimized NdSb2Pt7Pb2 structure. Source: Alexandria via LeMat-Bulk, functional PBE.

abc: 4.0679 4.0679 16.6804
angles: 96.94 96.94 90.04
Fractional coordinates of all 12 atoms:
Nd 0.0000 0.0000 0.0000
Sb 0.3823 0.3823 0.7616
Sb 0.6177 0.6177 0.2384
Pt 0.0668 0.5672 0.1351
Pt 0.3026 0.3026 0.6027
Pt 0.4328 0.9332 0.8649
Pt 0.5000 0.5000 0.0000
Pt 0.5672 0.0668 0.1351
Pt 0.6974 0.6974 0.3973
Pt 0.9332 0.4328 0.8649
Pb 0.2136 0.2136 0.4278
Pb 0.7864 0.7864 0.5722

Summary:
The uncorrected energy is -68.6 eV for the cell shown. The value obtained for the theoretical density is 13236 kg/m³. Its space-group type is C2/m.

7.
A geometry-optimized Zn2InC structure. Source: Alexandria via LeMat-Bulk, functional PBE.

abc: 6.2591 6.2591 8.7849
angles: 90.00 90.00 90.00
Fractional coordinates of all 16 atoms:
Zn 0.0000 0.0000 0.0000
Zn 0.0000 0.5000 0.0000
Zn 0.2500 0.2500 0.7500
Zn 0.2500 0.7500 0.2500
Zn 0.5000 0.0000 0.5000
Zn 0.5000 0.5000 0.5000
Zn 0.7500 0.2500 0.7500
Zn 0.7500 0.7500 0.2500
In 0.0000 0.2500 0.3750
In 0.0000 0.7500 0.6250
In 0.5000 0.2500 0.1250
In 0.5000 0.7500 0.8750
C 0.0000 0.2500 0.8750
C 0.0000 0.7500 0.1250
C 0.5000 0.2500 0.6250
C 0.5000 0.7500 0.3750

Summary:
For the distance to the lowest polymorph of the same formula, the calculation gives 0.0000 eV/atom. The energy relative to the elements comes out at 0.61 eV/atom. The uncorrected energy is -48.2 eV for the cell shown. The value obtained for the theoretical density is 4972 kg/m³. Its space-group type is I4_1/amd.

8.
A geometry-optimized HoScBeAu structure. Source: Alexandria via LeMat-Bulk, functional PBE.

abc: 6.8400 6.8400 6.8400
angles: 90.00 90.00 90.00
Fractional coordinates of all 16 atoms:
Ho 0.0000 0.0000 0.0000
Ho 0.0000 0.5000 0.5000
Ho 0.5000 0.0000 0.5000
Ho 0.5000 0.5000 0.0000
Sc 0.0000 0.0000 0.5000
Sc 0.0000 0.5000 0.0000
Sc 0.5000 0.0000 0.0000
Sc 0.5000 0.5000 0.5000
Be 0.2500 0.2500 0.2500
Be 0.2500 0.7500 0.7500
Be 0.7500 0.2500 0.7500
Be 0.7500 0.7500 0.2500
Au 0.2500 0.2500 0.7500
Au 0.2500 0.7500 0.2500
Au 0.7500 0.2500 0.2500
Au 0.7500 0.7500 0.7500

Summary:
The energy relative to the elements comes out at -0.34 eV/atom. The uncorrected energy is -77.1 eV for the cell shown. The value obtained for the theoretical density is 8632 kg/m³. Its space-group type is F-43m.